Record 1
# InRhSe2 (PBE, relaxed)
data_InRhSe2
_chemical_formula_sum 'In3 Rh3 Se6'
_symmetry_space_group_name_H-M 'R -3 m'
_symmetry_Int_Tables_number 166
_symmetry_space_group_name_Hall '-R 3 2"'
_cell_length_a 3.8750
_cell_length_b 3.8750
_cell_length_c 20.1151
_cell_angle_alpha 90.00
_cell_angle_beta 90.00
_cell_angle_gamma 120.00
loop_
_atom_site_label
_atom_site_type_symbol
_atom_site_fract_x
_atom_site_fract_y
_atom_site_fract_z
_atom_site_occupancy
In1 In 0.0000 0.0000 0.0000 1
Rh1 Rh 0.0000 0.0000 0.5000 1
Se1 Se 0.0000 0.0000 0.2287 1
# E = -18.424 eV per formula unit
# Density of states at the Fermi level = 1.8 states/eV/f.u.
# Spin magnetization = 0.0 μB per cell

---

Record 2
# KScMo2 (PBE, relaxed)
data_KScMo2
_chemical_formula_sum 'K1 Sc1 Mo2'
_symmetry_space_group_name_H-M 'P 4/m m m'
_symmetry_Int_Tables_number 123
_symmetry_space_group_name_Hall '-P 4 2'
_cell_length_a 3.884
_cell_length_b 3.884
_cell_length_c 5.215
_cell_angle_alpha 90.00
_cell_angle_beta 90.00
_cell_angle_gamma 90.00
loop_
_atom_site_label
_atom_site_type_symbol
_atom_site_fract_x
_atom_site_fract_y
_atom_site_fract_z
_atom_site_occupancy
K1 K 0.000 0.000 0.000 1
Sc1 Sc 0.500 0.500 0.000 1
Mo1 Mo 0.000 0.500 0.500 1
# Density of states at the Fermi level = 2.8 states/eV/f.u.
# ΔE to the lowest computed polymorph = 2.946 eV per formula unit
# Spin magnetization = 0.0 μB per cell

---

Record 3
# Ce2SmUN4 (PBE, relaxed)
data_Ce2SmUN4
_chemical_formula_sum 'Ce4 Sm2 U2 N8'
_symmetry_space_group_name_H-M 'I -4 m 2'
_symmetry_Int_Tables_number 119
_symmetry_space_group_name_Hall 'I -4 -2'
_cell_length_a 5.009
_cell_length_b 5.009
_cell_length_c 9.971
_cell_angle_alpha 90.00
_cell_angle_beta 90.00
_cell_angle_gamma 90.00
loop_
_atom_site_label
_atom_site_type_symbol
_atom_site_fract_x
_atom_site_fract_y
_atom_site_fract_z
_atom_site_occupancy
Ce1 Ce 0.000 0.000 0.000 1
Ce2 Ce 0.000 0.500 0.250 1
Sm1 Sm 0.000 0.500 0.750 1
U1 U 0.000 0.000 0.500 1
N1 N 0.000 0.000 0.273 1
N2 N 0.000 0.500 0.002 1
# E = -72.788 eV per formula unit
# Density of states at the Fermi level = 9.4 states/eV/f.u.
# Spin magnetization = 3.7 μB per cell